[1]
The following is a DFT calculation (GGA-PBE) of a relaxed LiW crystal.

The total magnetic moment is 0.00 Bohr magnetons per cell. The energy above the lowest structure with this stoichiometry is 1.53 eV/f.u. As for the calculated volume: 13.4 Å³/atom. The calculation puts the formation energy at 200 kJ/mol of formula units.

Cell: 2.9892 2.9892 2.9892 Å, 90.00 90.00 90.00°
With the nearest neighbours (Å) after each atom.
Positions (direct):
Li  0.0000  0.0000  0.0000  8 W 2.59
W  0.5000  0.5000  0.5000  8 Li 2.59

[2]
The following is a DFT calculation (GGA-PBE) of a relaxed LiW crystal.

The total magnetic moment is 0.00 Bohr magnetons per cell. The energy above the lowest structure with this stoichiometry is 0.45 eV/f.u. As for the calculated volume: 15.7 Å³/atom. The calculation puts the formation energy at 96 kJ/mol of formula units.

Cell: 4.3306 2.9309 4.9536 Å, 90.00 90.00 90.00°
With the nearest neighbours (Å) after each atom.
Positions (direct):
Li  0.0000  0.0000  0.5000  4 Li 2.61, 4 W 2.88
Li  0.5000  0.5000  0.5000  4 Li 2.61, 4 W 2.88
W  0.5000  0.0000  0.0000  4 W 2.61, 4 Li 2.88
W  0.0000  0.5000  0.0000  4 W 2.61, 4 Li 2.88

[3]
The following is a DFT calculation (GGA-PBE) of a relaxed Li5W3 crystal.

The total magnetic moment is 0.00 Bohr magnetons per cell. As for the calculated volume: 16.0 Å³/atom. The calculation puts the formation energy at 473 kJ/mol of formula units.

Cell: 5.5101 5.5101 4.2158 Å, 90.00 90.00 92.53°
With the nearest neighbours (Å) after each atom.
Positions (direct):
Li  0.0000  0.0000  0.0000  8 Li 2.68-2.76
Li  0.5000  0.0000  0.0000  6 W 2.76-2.95, 6 Li 2.76-2.86
Li  0.0000  0.5000  0.0000  6 W 2.76-2.95, 6 Li 2.76-2.86
Li  0.7920  0.2080  0.5000  6 Li 2.68-2.86, 4 W 2.71-2.94
Li  0.2080  0.7920  0.5000  6 Li 2.68-2.86, 4 W 2.71-2.94
W  0.5000  0.5000  0.0000  4 W 2.52, 4 Li 2.76
W  0.6817  0.6817  0.5000  3 W 2.52-2.77, 2 Li 2.71
W  0.3183  0.3183  0.5000  3 W 2.52-2.77, 2 Li 2.71

[4]
The following is a DFT calculation (GGA-PBE) of a relaxed LiW crystal.

The total magnetic moment is 0.00 Bohr magnetons per cell. The energy above the lowest structure with this stoichiometry is 0.52 eV/f.u. As for the calculated volume: 16.6 Å³/atom. The calculation puts the formation energy at 102 kJ/mol of formula units.

Cell: 3.2496 3.2496 6.2779 Å, 90.00 90.00 90.00°
With the nearest neighbours (Å) after each atom.
Positions (direct):
Li  0.0000  0.0000  0.0041  4 Li 2.75, 5 W 2.91-2.98
Li  0.5000  0.5000  0.2459  4 Li 2.75, 5 W 2.91-2.98
W  0.0000  0.0000  0.5301  4 W 2.59
W  0.5000  0.5000  0.7199  4 W 2.59

[5]
The following is a DFT calculation (GGA-PBE) of a relaxed LiW3 crystal.

The total magnetic moment is 0.00 Bohr magnetons per cell. The energy above the lowest structure with this stoichiometry is 0.80 eV/f.u. As for the calculated volume: 15.3 Å³/atom. The calculation puts the formation energy at 199 kJ/mol of formula units.

Cell: 5.5701 5.5701 9.1320 Å, 90.00 90.00 120.00°
With the nearest neighbours (Å) after each atom.
Positions (direct):
W  0.5000  0.0000  0.0000  8 W 2.78-2.79, 4 Li 2.79
W  0.5000  0.0000  0.5000  8 W 2.78-2.79, 4 Li 2.79
W  0.0000  0.5000  0.0000  8 W 2.78-2.79, 4 Li 2.79
W  0.5000  0.5000  0.0000  8 W 2.78-2.79, 4 Li 2.79
W  0.5000  0.5000  0.5000  8 W 2.78-2.79, 4 Li 2.79
W  0.0000  0.5000  0.5000  8 W 2.78-2.79, 4 Li 2.79
W  0.8283  0.6567  0.2500  8 W 2.70-2.87, 4 Li 2.79-2.82
W  0.1717  0.3433  0.7500  8 W 2.70-2.87, 4 Li 2.79-2.82
W  0.3433  0.1717  0.2500  8 W 2.70-2.87, 4 Li 2.79-2.82
W  0.8283  0.1717  0.2500  8 W 2.70-2.87, 4 Li 2.79-2.82
W  0.1717  0.8283  0.7500  8 W 2.70-2.87, 4 Li 2.79-2.82
W  0.6567  0.8283  0.7500  8 W 2.70-2.87, 4 Li 2.79-2.82
Li  0.0000  0.0000  0.0000  12 W 2.79-2.82
Li  0.0000  0.0000  0.5000  12 W 2.79-2.82
Li  0.3333  0.6667  0.2500  12 W 2.79
Li  0.6667  0.3333  0.7500  12 W 2.79

[6]
The following is a DFT calculation (GGA-PBE) of a relaxed LiW3 crystal.

The total magnetic moment is 0.00 Bohr magnetons per cell. The energy above the lowest structure with this stoichiometry is 0.77 eV/f.u. As for the calculated volume: 15.8 Å³/atom. The calculation puts the formation energy at 195 kJ/mol of formula units.

Cell: 5.4969 5.4969 5.4969 Å, 152.60 123.58 63.84°
With the nearest neighbours (Å) after each atom.
Positions (direct):
Li  0.9798  0.0000  0.9798  2 Li 2.60, 8 W 2.77-2.90
W  0.4726  0.5000  0.9726  8 W 2.60-2.89, 2 Li 2.87
W  0.9394  0.2489  0.6905  9 W 2.60-2.91, 3 Li 2.77-2.90
W  0.4415  0.7511  0.6905  9 W 2.60-2.91, 3 Li 2.77-2.90

[7]
The following is a DFT calculation (GGA-PBE) of a relaxed LiW crystal.

The total magnetic moment is 0.00 Bohr magnetons per cell. The energy above the lowest structure with this stoichiometry is 0.57 eV/f.u. As for the calculated volume: 15.8 Å³/atom. The calculation puts the formation energy at 107 kJ/mol of formula units.

Cell: 9.8842 19.5887 2.6037 Å, 90.00 90.00 90.00°
With the nearest neighbours (Å) after each atom.
Positions (direct):
Li  0.8727  0.0000  0.0000  5 Li 2.52-2.75
Li  0.1273  0.0000  0.0000  5 Li 2.52-2.75
Li  0.3773  0.7500  0.2500  5 Li 2.52-2.75
Li  0.1227  0.7500  0.2500  5 Li 2.52-2.75
Li  0.8727  0.5000  0.5000  5 Li 2.52-2.75
Li  0.1273  0.5000  0.5000  5 Li 2.52-2.75
Li  0.3773  0.2500  0.7500  5 Li 2.52-2.75
Li  0.1227  0.2500  0.7500  5 Li 2.52-2.75
Li  0.3727  0.0000  0.5000  5 Li 2.52-2.75
Li  0.6273  0.0000  0.5000  5 Li 2.52-2.75
Li  0.8773  0.7500  0.7500  5 Li 2.52-2.75
Li  0.6227  0.7500  0.7500  5 Li 2.52-2.75
Li  0.3727  0.5000  0.0000  5 Li 2.52-2.75
Li  0.6273  0.5000  0.0000  5 Li 2.52-2.75
Li  0.8773  0.2500  0.2500  5 Li 2.52-2.75
Li  0.6227  0.2500  0.2500  5 Li 2.52-2.75
W  0.0000  0.3796  0.0000  4 W 2.56-2.60
W  0.0000  0.6204  0.0000  4 W 2.56-2.60
W  0.2500  0.3704  0.2500  4 W 2.56-2.60
W  0.2500  0.1296  0.2500  4 W 2.56-2.60
W  0.0000  0.8796  0.5000  4 W 2.56-2.60
W  0.0000  0.1204  0.5000  4 W 2.56-2.60
W  0.2500  0.8704  0.7500  4 W 2.56-2.60
W  0.2500  0.6296  0.7500  4 W 2.56-2.60
W  0.5000  0.3796  0.5000  4 W 2.56-2.60
W  0.5000  0.6204  0.5000  4 W 2.56-2.60
W  0.7500  0.3704  0.7500  4 W 2.56-2.60
W  0.7500  0.1296  0.7500  4 W 2.56-2.60
W  0.5000  0.8796  0.0000  4 W 2.56-2.60
W  0.5000  0.1204  0.0000  4 W 2.56-2.60
W  0.7500  0.8704  0.2500  4 W 2.56-2.60
W  0.7500  0.6296  0.2500  4 W 2.56-2.60

[8]
The following is a DFT calculation (GGA-PBE) of a relaxed LiW crystal.

The total magnetic moment is 0.00 Bohr magnetons per cell. The energy above the lowest structure with this stoichiometry is 0.73 eV/f.u. As for the calculated volume: 17.0 Å³/atom. The calculation puts the formation energy at 123 kJ/mol of formula units.

Cell: 9.5468 9.5468 2.5819 Å, 90.00 90.00 120.00°
With the nearest neighbours (Å) after each atom.
Positions (direct):
Li  0.7716  0.0634  0.2500  6 Li 2.58-2.85, 2 W 2.76-2.78
Li  0.7082  0.7716  0.7500  6 Li 2.58-2.85, 2 W 2.76-2.78
Li  0.9366  0.7082  0.2500  6 Li 2.58-2.85, 2 W 2.76-2.78
Li  0.2284  0.9366  0.7500  6 Li 2.58-2.85, 2 W 2.76-2.78
Li  0.2918  0.2284  0.2500  6 Li 2.58-2.85, 2 W 2.76-2.78
Li  0.0634  0.2918  0.7500  6 Li 2.58-2.85, 2 W 2.76-2.78
W  0.8502  0.3862  0.2500  6 W 2.58-2.89, 2 Li 2.76-2.78
W  0.4639  0.8502  0.7500  6 W 2.58-2.89, 2 Li 2.76-2.78
W  0.6138  0.4639  0.2500  6 W 2.58-2.89, 2 Li 2.76-2.78
W  0.1498  0.6138  0.7500  6 W 2.58-2.89, 2 Li 2.76-2.78
W  0.5361  0.1498  0.2500  6 W 2.58-2.89, 2 Li 2.76-2.78
W  0.3862  0.5361  0.7500  6 W 2.58-2.89, 2 Li 2.76-2.78

[9]
The following is a DFT calculation (GGA-PBE) of a relaxed LiW crystal.

The total magnetic moment is 0.00 Bohr magnetons per cell. The energy above the lowest structure with this stoichiometry is 0.52 eV/f.u. As for the calculated volume: 16.0 Å³/atom. The calculation puts the formation energy at 102 kJ/mol of formula units.

Cell: 5.7774 5.7774 6.7940 Å, 79.08 79.08 25.61°
With the nearest neighbours (Å) after each atom.
Positions (direct):
Li  0.0169  0.0169  0.9883  6 Li 2.56-2.87
Li  0.6644  0.6644  0.6493  5 Li 2.56-2.87, 1 W 2.85
Li  0.6039  0.6039  0.3005  5 Li 2.56-2.81
W  0.3396  0.3396  0.3115  5 W 2.56-2.77
W  0.9199  0.9199  0.6233  6 W 2.56-2.78, 1 Li 2.85
W  0.2887  0.2887  0.9605  5 W 2.56-2.78

[10]
The following is a DFT calculation (GGA-PBE) of a relaxed LiW3 crystal.

The total magnetic moment is 0.00 Bohr magnetons per cell. The energy above the lowest structure with this stoichiometry is 0.58 eV/f.u. As for the calculated volume: 15.5 Å³/atom. The calculation puts the formation energy at 177 kJ/mol of formula units.

Cell: 5.1438 5.1438 5.1438 Å, 143.74 128.97 64.20°
With the nearest neighbours (Å) after each atom.
Positions (direct):
Li  0.0000  0.0000  0.0000  8 W 2.73-2.76
W  0.7427  0.2427  0.5000  6 W 2.65-2.74, 2 Li 2.76
W  0.5000  0.5000  0.0000  4 W 2.65, 4 Li 2.73
W  0.2573  0.7573  0.5000  6 W 2.65-2.74, 2 Li 2.76

What did the first record say?
The following is a DFT calculation (GGA-PBE) of a relaxed LiW crystal.

The total magnetic moment is 0.00 Bohr magnetons per cell. The energy above the lowest structure with this stoichiometry is 1.53 eV/f.u. As for the calculated volume: 13.4 Å³/atom. The calculation puts the formation energy at 200 kJ/mol of formula units.

Cell: 2.9892 2.9892 2.9892 Å, 90.00 90.00 90.00°
With the nearest neighbours (Å) after each atom.
Positions (direct):
Li  0.0000  0.0000  0.0000  8 W 2.59
W  0.5000  0.5000  0.5000  8 Li 2.59

Q: Which value of formation energy does entry 1 give?
A: 200 kJ/mol of formula units